Tb3Pm2Ho6 after structural relaxation. Source: Alexandria via LeMat-Bulk, functional PBE.

Cell lengths 16.910, 16.910, 16.910 Å; angles 163.94, 163.94, 22.79 degrees
Element x y z (fractional)
Tb (0.000, 0.000, 0.000)
Tb (0.201, 0.201, 0.000)
Tb (0.799, 0.799, 0.000)
Pm (0.454, 0.454, 0.000)
Pm (0.546, 0.546, 0.000)
Ho (0.122, 0.622, 0.500)
Ho (0.305, 0.305, 0.000)
Ho (0.378, 0.878, 0.500)
Ho (0.622, 0.122, 0.500)
Ho (0.695, 0.695, 0.000)
Ho (0.878, 0.378, 0.500)

Properties
- Total magnetization: 0.0001 μB per atom
- Offset from the most stable computed form: 0.0851 eV/atom
- Density: 7883 kg/m³
- E_form: 271 meV per atom
- SG: I4/mmm, No. 139
- Electronic total energy: -4.35 eV/atom

CaTeAuSeS after structural relaxation. Source: Alexandria via LeMat-Bulk, functional PBE.

Cell lengths 3.916, 3.916, 8.176 Å; angles 90.00, 90.00, 90.00 degrees
Element x y z (fractional)
Ca (0.000, 0.000, 0.000)
Te (0.000, 0.000, 0.483)
Au (0.500, 0.500, 0.542)
Se (0.500, 0.500, 0.168)
S (0.500, 0.500, 0.875)

Properties
- Total magnetization: 0.0000 μB per atom
- Offset from the most stable computed form: 0.0867 eV/atom
- Density: 6299 kg/m³
- Raw formation energy: -670 meV per atom
- SG: P4mm, No. 99
- Electronic total energy: -3.88 eV/atom